First-principles (PBE) data for a geometry-optimized ReO2 structure, as listed in the Open Quantum Materials Database.

Computed properties:
Its symmetry is P-3m1 (164). As for the volume: 10.6 A^3/atom. Its raw total energy is -25.3 eV per formula unit.

Cell: 2.7786 2.7786 4.7628 Å, 90.00 90.00 120.00°
Last column: nearest neighbours and their distance in Å.
Positions (direct):
Re: 0.0000 0.0000 0.0000  6 O 2.06
O: 0.3333 0.6667 0.2700  3 Re 2.06
O: 0.6667 0.3333 0.7300  3 Re 2.06